Below is a relaxed Ta2BeB crystal, with properties calculated at the GGA-PBE level.

a = 4.762 Å, b = 3.252 Å, c = 6.694 Å
α = 90.00°, β = 110.62°, γ = 90.00°
Positions (direct):
Ta: 0.205 0.250 0.432
Ta: 0.212 0.250 0.922
Ta: 0.788 0.750 0.078
Ta: 0.795 0.750 0.568
Be: 0.373 0.750 0.220
Be: 0.627 0.250 0.780
B: 0.371 0.750 0.717
B: 0.629 0.250 0.283

Total energy ... -9.115 eV per atom
Excess energy over the best structure of this formula in the dataset ... 0 meV per atom
Mass density ... 13.1 g/cm3